The following is a PBE-GGA calculation of a relaxed structure of KBiAu2, from Alexandria.

Calculated values
crystal system	trigonal
spin magnetization	0.000	μB per formula unit
E	-12.4	eV per cell

a b c (Å): 6.4983 6.4983 6.4983
angles (deg): 45.31 45.31 45.31
With the nearest neighbours (Å) after each atom.
Fractional positions:
K 0.0000 0.0000 0.0000  8 Au 3.42-3.76
Bi 0.5000 0.5000 0.5000  6 Au 2.93
Au 0.1956 0.1956 0.1956  3 Bi 2.93, 3 Au 3.06
Au 0.8044 0.8044 0.8044  3 Bi 2.93, 3 Au 3.06